1.
! PBE-GGA BaAu2Cl, relaxed; values from VASP
! Size of the total moment (μB per formula unit): 0.00
! Energy above the most stable polymorph in this dataset (meV/atom): 217
! Total energy (Ry per atom): -0.24881
! Energy relative to the elements, uncorrected (kJ per mole of atoms): -77.60
&SYSTEM
  ibrav = 0, nat = 8, ntyp = 3
/
ATOMIC_SPECIES
Ba 137.33 Ba.upf
Au 196.97 Au.upf
Cl 35.45 Cl.upf
ATOMIC_POSITIONS angstrom
Ba -9.1050 -5.2520 -2.1104
Ba 0.0000 0.0000 0.0000
Au -6.7784 -2.7095 -1.7398
Au -1.9488 -7.2344 -1.0271
Au -11.0135 -12.4393 -3.1176
Au -6.8443 -7.6682 -1.0775
Cl -4.1875 -9.7737 -1.3706
Cl -4.1618 -4.8620 -2.0528
CELL_PARAMETERS angstrom
-9.0793 -0.3404 -2.7925
0.7556 -9.3837 -1.3130
-4.9688 -5.3016 0.6246

2.
! PBE-GGA Sc8Co2Se, relaxed; values from VASP
! Size of the total moment (μB per formula unit): 0.00
! Total energy (Ry per atom): -0.48141
! Energy relative to the elements, uncorrected (kJ per mole of atoms): -32.46
&SYSTEM
  ibrav = 0, nat = 11, ntyp = 3
/
ATOMIC_SPECIES
Sc 44.96 Sc.upf
Se 78.96 Se.upf
Co 58.93 Co.upf
ATOMIC_POSITIONS angstrom
Sc 3.0679 0.5058 1.6368
Sc 4.0512 4.8321 -1.2650
Sc 0.8916 3.9676 4.3428
Sc 4.9437 1.4611 3.8453
Sc 3.2641 3.9334 2.0246
Sc 2.6296 2.1611 -0.8727
Sc 0.4433 5.6611 1.7756
Sc 0.2965 2.3402 1.4919
Se 0.8792 0.0617 -0.1128
Co 1.5439 4.2647 -0.0363
Co 2.1587 1.9424 3.4841
CELL_PARAMETERS angstrom
5.5320 0.1143 -0.8907
-1.7189 6.1320 -2.5605
-0.0731 -0.0840 6.8630

3.
! PBE-GGA LiRePt, relaxed; values from VASP
! Size of the total moment (μB per formula unit): 0.00
! Energy above the most stable polymorph in this dataset (meV/atom): 0
! Total energy (Ry per atom): -0.51845
&SYSTEM
  ibrav = 0, nat = 6, ntyp = 3
/
ATOMIC_SPECIES
Pt 195.08 Pt.upf
Li 6.94 Li.upf
Re 186.21 Re.upf
ATOMIC_POSITIONS angstrom
Pt 3.3199 2.0357 2.7230
Pt -0.3453 0.6786 5.0330
Li 1.1520 0.6786 2.4164
Li 1.8226 2.0357 5.3397
Re 3.2300 0.6786 0.4455
Re -0.2554 2.0357 7.3106
CELL_PARAMETERS angstrom
4.3051 0.0000 -0.0145
0.0000 2.7142 0.0000
-1.3305 0.0000 7.7705

4.
! PBE-GGA PmScCdRu, relaxed; values from VASP
! Size of the total moment (μB per formula unit): 0.00
! Energy above the most stable polymorph in this dataset (meV/atom): 145
! Total energy (Ry per atom): -0.40750
&SYSTEM
  ibrav = 0, nat = 4, ntyp = 4
/
ATOMIC_SPECIES
Pm 145.00 Pm.upf
Sc 44.96 Sc.upf
Ru 101.07 Ru.upf
Cd 112.41 Cd.upf
ATOMIC_POSITIONS angstrom
Pm 0.5746 -0.4393 -2.9571
Sc 1.7237 -1.3178 -8.8712
Ru 1.1492 -0.8785 -5.9141
Cd 0.0000 0.0000 0.0000
CELL_PARAMETERS angstrom
-0.7775 1.7461 -4.5890
3.5802 -0.3474 -3.4313
-0.5044 -3.1557 -3.8078

5.
! PBE-GGA TaIF2, relaxed; values from VASP
! Size of the total moment (μB per formula unit): 1.99
! Energy above the most stable polymorph in this dataset (meV/atom): 182
! Total energy (Ry per atom): -0.40820
! Energy relative to the elements, uncorrected (kJ per mole of atoms): -122.29
&SYSTEM
  ibrav = 0, nat = 8, ntyp = 3
/
ATOMIC_SPECIES
I 126.90 I.upf
F 19.00 F.upf
Ta 180.95 Ta.upf
ATOMIC_POSITIONS angstrom
I 2.3421 4.6841 3.4753
I 2.3421 2.3421 0.0000
F 3.5131 2.3440 5.2130
F 4.6861 3.5131 1.7377
F 5.8552 2.3401 5.2130
F 4.6822 1.1710 1.7377
Ta 0.0000 0.0000 0.0000
Ta 4.6841 2.3421 3.4753
CELL_PARAMETERS angstrom
4.6841 0.0000 0.0000
0.0000 4.6841 0.0000
2.3421 2.3421 6.9507

6.
! PBE-GGA FeSiNi2Cl, relaxed; values from VASP
! Size of the total moment (μB per formula unit): 3.26
! Total energy (Ry per atom): -0.34448
! Energy relative to the elements, uncorrected (kJ per mole of atoms): 74.50
&SYSTEM
  ibrav = 0, nat = 5, ntyp = 4
/
ATOMIC_SPECIES
Si 28.09 Si.upf
Fe 55.84 Fe.upf
Ni 58.69 Ni.upf
Cl 35.45 Cl.upf
ATOMIC_POSITIONS angstrom
Si 0.0000 0.0000 0.0000
Fe 0.1928 2.6645 2.8093
Ni -1.5268 1.4219 0.3489
Ni 1.4450 1.5445 0.0287
Cl 0.2745 -0.3020 2.4316
CELL_PARAMETERS angstrom
-3.0535 2.8438 0.6979
0.5489 -0.6040 4.8633
2.8901 3.0891 0.0574

Number 1: density of states at the Fermi level 0.18 states/eV/atom. Number 2: density of states at the Fermi level 1.11 states/eV/atom. Number 3: density of states at the Fermi level 0.61 states/eV/atom. Number 4: density of states at the Fermi level 1.02 states/eV/atom. Number 5: density of states at the Fermi level 0.36 states/eV/atom. Number 6: density of states at the Fermi level 1.32 states/eV/atom.